Computed, not measured: Nb6Si2H after structural relaxation at the PBE level of DFT.

```
data_Nb6Si2H
_chemical_formula_sum 'Nb12 Si4 H2'
_space_group_name_H-M_alt 'P 1 21/c 1'
_space_group_IT_number 14
_cell_length_a 5.228
_cell_length_b 6.598
_cell_length_c 9.668
_cell_angle_alpha 90.00
_cell_angle_beta 122.34
_cell_angle_gamma 90.00
loop_
_space_group_symop_operation_xyz
'x,y,z'
'-x,-y,-z'
'-x,y+1/2,-z+1/2'
'x,-y+1/2,z+1/2'
loop_
_atom_site_label
_atom_site_fract_x
_atom_site_fract_y
_atom_site_fract_z
Nb1 0.088 0.186 0.449
Nb2 0.308 0.679 0.452
Nb3 0.362 0.011 0.264
Si1 0.172 0.113 0.748
H1 0.000 0.000 0.000
```

The raw total energy comes out at -0.638 Ry/atom. The value obtained for the calculated volume is 15.654 Å³ per atom.